Record 1
# PBE CaDyNiAu, relaxed
data_CaDyNiAu
_cell_length_a 7.024
_cell_length_b 7.024
_cell_length_c 7.024
_cell_angle_alpha 90.00
_cell_angle_beta 90.00
_cell_angle_gamma 90.00
_symmetry_space_group_name_H-M 'F -4 3 m'
_symmetry_Int_Tables_number 216
_symmetry_space_group_name_Hall 'F -4 2 3'
loop_
_atom_site_label
_atom_site_fract_x
_atom_site_fract_y
_atom_site_fract_z
Ca1 0.000 0.000 0.000
Dy1 0.000 0.000 0.500
Ni1 0.250 0.250 0.750
Au1 0.250 0.250 0.250
# E = -0.161 hartree per atom
# formation energy from the elements = -11.0 kcal/mol of atoms

***

Record 2
# PBE Tb2ZnGa2Ir5, relaxed
data_Tb2ZnGa2Ir5
_cell_length_a 9.708
_cell_length_b 9.708
_cell_length_c 3.609
_cell_angle_alpha 90.00
_cell_angle_beta 90.00
_cell_angle_gamma 90.00
_symmetry_space_group_name_H-M 'P 4/m b m'
_symmetry_Int_Tables_number 127
_symmetry_space_group_name_Hall '-P 4 2ab'
loop_
_atom_site_label
_atom_site_fract_x
_atom_site_fract_y
_atom_site_fract_z
Tb1 0.174 0.326 0.000
Zn1 0.000 0.000 0.000
Ga1 0.126 0.626 0.000
Ir1 0.000 0.500 0.500
Ir2 0.063 0.798 0.500
# E = -0.244 hartree per atom
# formation energy from the elements = -12.5 kcal/mol of atoms

***

| no. | total magnetic moment (μB per atom) |
| --- | --- |
| 1 | 0.00 |
| 2 | 0.00 |